{"formula": "Si4TcIr", "functional": "PBE", "state": "optimized geometry", "lattice": [[0.0000, 3.4201, 3.4201], [3.4201, 0.0000, 3.4201], [3.4201, 3.4201, 0.0000]], "species": ["Si", "Si", "Si", "Si", "Ir", "Tc"], "frac_coords": [[0.8752, 0.3749, 0.3749], [0.3749, 0.8752, 0.3749], [0.3749, 0.3749, 0.8752], [0.3749, 0.3749, 0.3749], [0.0000, 0.0000, 0.0000], [0.7500, 0.7500, 0.7500]], "dos_at_fermi_per_ev_cell": 5.493, "m_tot_mub_per_cell": 0.001, "raw_formation_energy_ev_per_atom": 0.4715, "total_energy_ry_per_atom": -0.46659}